1.
The following is a DFT calculation (PBE) of a geometry-optimized Sr3As2 structure.

abc: 8.290 8.290 8.290
angles: 57.10 57.10 57.10
Positions (direct):
Sr 0.044 0.750 0.456
Sr 0.250 0.544 0.956
Sr 0.456 0.044 0.750
Sr 0.544 0.956 0.250
Sr 0.750 0.456 0.044
Sr 0.956 0.250 0.544
As 0.145 0.145 0.145
As 0.355 0.355 0.355
As 0.645 0.645 0.645
As 0.855 0.855 0.855

The symmetry is No. 167. The energy of formation from the pure elements comes out at -1.10 eV per atom. Its crystal system is trigonal.

=====

2.
The following is a DFT calculation (PBE) of a geometry-optimized SrAs3 structure.

abc: 5.766 5.766 5.766
angles: 116.24 116.24 116.24
Positions (direct):
Sr 0.000 0.000 0.000
As 0.000 0.500 0.500
As 0.500 0.000 0.500
As 0.500 0.500 0.000

The symmetry is No. 166. The energy of formation from the pure elements comes out at -0.09 eV per atom. The density of states at the Fermi level is 2.25 states/eV per cell. Its crystal system is trigonal.

=====

3.
The following is a DFT calculation (PBE) of a geometry-optimized SrAs4 structure.

abc: 6.211 6.211 6.211
angles: 95.01 95.01 145.63
Positions (direct):
Sr 0.000 0.000 0.000
As 0.203 0.338 0.541
As 0.338 0.797 0.135
As 0.662 0.203 0.865
As 0.797 0.662 0.459

The symmetry is No. 87. The energy of formation from the pure elements comes out at -0.31 eV per atom. The density of states at the Fermi level is 3.47 states/eV per cell. Its crystal system is tetragonal.

=====

4.
The following is a DFT calculation (PBE) of a geometry-optimized SrAs3 structure.

abc: 6.221 6.221 5.950
angles: 107.80 107.80 76.85
Positions (direct):
Sr 0.165 0.165 0.332
Sr 0.835 0.835 0.668
As 0.092 0.631 0.195
As 0.369 0.908 0.805
As 0.494 0.494 0.785
As 0.506 0.506 0.215
As 0.631 0.092 0.195
As 0.908 0.369 0.805

The symmetry is No. 12. The energy of formation from the pure elements comes out at -0.61 eV per atom. The density of states at the Fermi level is 0.74 states/eV per cell. Its crystal system is monoclinic.

=====

5.
The following is a DFT calculation (PBE) of a geometry-optimized Sr3As2 structure.

abc: 8.234 8.234 6.034
angles: 111.40 111.40 32.47
Positions (direct):
Sr 0.000 0.000 0.000
Sr 0.291 0.291 0.291
Sr 0.709 0.709 0.709
As 0.352 0.352 0.851
As 0.648 0.648 0.149

The symmetry is No. 12. The energy of formation from the pure elements comes out at -1.04 eV per atom. The density of states at the Fermi level is 0.51 states/eV per cell. Its crystal system is monoclinic.

=====

6.
The following is a DFT calculation (PBE) of a geometry-optimized SrAs3 structure.

abc: 5.122 5.122 5.122
angles: 60.00 60.00 60.00
Positions (direct):
Sr 0.000 0.000 0.000
As 0.250 0.250 0.250
As 0.500 0.500 0.500
As 0.750 0.750 0.750

The symmetry is No. 225. The energy of formation from the pure elements comes out at -0.10 eV per atom. The density of states at the Fermi level is 2.98 states/eV per cell. Its crystal system is cubic.

=====

7.
The following is a DFT calculation (PBE) of a geometry-optimized SrAs structure.

abc: 4.610 4.610 15.493
angles: 90.00 90.00 120.00
Positions (direct):
Sr 0.333 0.667 0.121
Sr 0.333 0.667 0.379
Sr 0.667 0.333 0.621
Sr 0.667 0.333 0.879
As 0.000 0.000 0.250
As 0.000 0.000 0.750
As 0.333 0.667 0.750
As 0.667 0.333 0.250

The symmetry is No. 194. The energy of formation from the pure elements comes out at -0.52 eV per atom. The density of states at the Fermi level is 6.91 states/eV per cell. Its crystal system is hexagonal.

=====

8.
The following is a DFT calculation (PBE) of a geometry-optimized SrAs structure.

abc: 5.981 8.345 9.917
angles: 90.00 90.00 90.00
Positions (direct):
Sr 0.126 0.189 0.118
Sr 0.126 0.311 0.618
Sr 0.374 0.689 0.118
Sr 0.374 0.811 0.618
Sr 0.626 0.189 0.382
Sr 0.626 0.311 0.882
Sr 0.874 0.689 0.382
Sr 0.874 0.811 0.882
As 0.130 0.025 0.401
As 0.130 0.475 0.901
As 0.370 0.525 0.401
As 0.370 0.975 0.901
As 0.630 0.025 0.099
As 0.630 0.475 0.599
As 0.870 0.525 0.099
As 0.870 0.975 0.599

The symmetry is No. 61. The energy of formation from the pure elements comes out at -1.01 eV per atom. Its crystal system is orthorhombic.

=====

9.
The following is a DFT calculation (PBE) of a geometry-optimized SrAs structure.

abc: 4.079 4.079 4.365
angles: 90.00 90.00 120.00
Positions (direct):
Sr 0.000 0.000 0.000
As 0.333 0.667 0.500

The symmetry is No. 187. The energy of formation from the pure elements comes out at -0.69 eV per atom. The density of states at the Fermi level is 1.91 states/eV per cell. Its crystal system is hexagonal.

=====

10.
The following is a DFT calculation (PBE) of a geometry-optimized SrAs3 structure.

abc: 3.972 3.972 6.082
angles: 90.00 90.00 90.00
Positions (direct):
Sr 0.000 0.000 0.000
As 0.000 0.000 0.500
As 0.500 0.500 0.301
As 0.500 0.500 0.699

The symmetry is No. 123. The energy of formation from the pure elements comes out at -0.21 eV per atom. The density of states at the Fermi level is 3.13 states/eV per cell. Its crystal system is tetragonal.

=====

11.
The following is a DFT calculation (PBE) of a geometry-optimized Sr5As2 structure.

abc: 9.555 9.555 8.254
angles: 95.80 95.80 44.95
Positions (direct):
Sr 0.082 0.918 0.750
Sr 0.140 0.288 0.317
Sr 0.288 0.140 0.817
Sr 0.316 0.499 0.086
Sr 0.499 0.316 0.586
Sr 0.501 0.684 0.414
Sr 0.684 0.501 0.914
Sr 0.712 0.860 0.183
Sr 0.860 0.712 0.683
Sr 0.918 0.082 0.250
As 0.088 0.699 0.416
As 0.301 0.912 0.084
As 0.699 0.088 0.916
As 0.912 0.301 0.584

The symmetry is No. 15. The energy of formation from the pure elements comes out at -0.74 eV per atom. The density of states at the Fermi level is 7.90 states/eV per cell. Its crystal system is monoclinic.

=====

12.
The following is a DFT calculation (PBE) of a geometry-optimized Sr3As structure.

abc: 8.300 8.300 8.300
angles: 151.91 142.90 47.18
Positions (direct):
Sr 0.000 0.000 0.000
Sr 0.336 0.836 0.500
Sr 0.664 0.164 0.500
As 0.500 0.500 0.000

The symmetry is No. 71. The energy of formation from the pure elements comes out at -0.57 eV per atom. The density of states at the Fermi level is 3.04 states/eV per cell. Its crystal system is orthorhombic.

=====

13.
The following is a DFT calculation (PBE) of a geometry-optimized Sr3As structure.

abc: 4.208 4.332 10.202
angles: 90.00 90.00 90.00
Positions (direct):
Sr 0.000 0.000 0.000
Sr 0.000 0.500 0.311
Sr 0.500 0.500 0.682
As 0.500 0.000 0.223

The symmetry is No. 25. The energy of formation from the pure elements comes out at -0.46 eV per atom. The density of states at the Fermi level is 3.77 states/eV per cell. Its crystal system is orthorhombic.

=====

14.
The following is a DFT calculation (PBE) of a geometry-optimized SrAs3 structure.

abc: 5.620 5.620 5.325
angles: 110.67 110.67 39.33
Positions (direct):
Sr 0.000 0.000 0.000
As 0.210 0.210 0.626
As 0.500 0.500 0.500
As 0.790 0.790 0.374

The symmetry is No. 12. The energy of formation from the pure elements comes out at -0.46 eV per atom. The density of states at the Fermi level is 1.01 states/eV per cell. Its crystal system is monoclinic.

=====

15.
The following is a DFT calculation (PBE) of a geometry-optimized SrAs4 structure.

abc: 5.560 5.560 5.560
angles: 90.00 90.00 90.00
Positions (direct):
Sr 0.000 0.000 0.000
As 0.000 0.000 0.500
As 0.000 0.500 0.000
As 0.500 0.000 0.000
As 0.500 0.500 0.500

The symmetry is No. 221. The energy of formation from the pure elements comes out at 1.31 eV per atom. The density of states at the Fermi level is 6.59 states/eV per cell. Its crystal system is cubic.

=====

16.
The following is a DFT calculation (PBE) of a geometry-optimized SrAs3 structure.

abc: 9.482 9.716 4.696
angles: 90.00 90.00 90.00
Positions (direct):
Sr 0.085 0.250 0.249
Sr 0.415 0.750 0.749
Sr 0.585 0.250 0.251
Sr 0.915 0.750 0.751
As 0.146 0.750 0.250
As 0.203 0.039 0.749
As 0.203 0.461 0.749
As 0.297 0.539 0.249
As 0.297 0.961 0.249
As 0.354 0.250 0.750
As 0.646 0.750 0.250
As 0.703 0.039 0.751
As 0.703 0.461 0.751
As 0.797 0.539 0.251
As 0.797 0.961 0.251
As 0.854 0.250 0.750

The symmetry is No. 62. The energy of formation from the pure elements comes out at -0.53 eV per atom. The density of states at the Fermi level is 1.25 states/eV per cell. Its crystal system is orthorhombic.

=====

17.
The following is a DFT calculation (PBE) of a geometry-optimized Sr3As2 structure.

abc: 9.883 9.883 9.883
angles: 28.11 28.11 28.11
Positions (direct):
Sr 0.000 0.000 0.000
Sr 0.228 0.228 0.228
Sr 0.772 0.772 0.772
As 0.399 0.399 0.399
As 0.601 0.601 0.601

The symmetry is No. 166. The energy of formation from the pure elements comes out at -0.96 eV per atom. The density of states at the Fermi level is 1.59 states/eV per cell. Its crystal system is trigonal.

=====

18.
The following is a DFT calculation (PBE) of a geometry-optimized SrAs4 structure.

abc: 5.736 5.736 5.736
angles: 109.47 109.47 109.47
Positions (direct):
Sr 0.000 0.000 0.000
As 0.000 0.000 0.500
As 0.000 0.500 0.000
As 0.500 0.000 0.000
As 0.500 0.500 0.500

The symmetry is No. 229. The energy of formation from the pure elements comes out at 0.47 eV per atom. The density of states at the Fermi level is 4.19 states/eV per cell. Its crystal system is cubic.

=====

19.
The following is a DFT calculation (PBE) of a geometry-optimized SrAs structure.

abc: 5.359 5.359 5.359
angles: 60.00 60.00 60.00
Positions (direct):
Sr 0.125 0.125 0.125
Sr 0.875 0.875 0.875
As 0.375 0.375 0.375
As 0.625 0.625 0.625

The symmetry is No. 227. The energy of formation from the pure elements comes out at -0.26 eV per atom. The density of states at the Fermi level is 4.02 states/eV per cell. Its crystal system is cubic.

=====

20.
The following is a DFT calculation (PBE) of a geometry-optimized SrTa2As structure.

abc: 3.460 3.460 7.626
angles: 90.00 90.00 90.00
Positions (direct):
Sr 0.000 0.000 0.000
Ta 0.000 0.000 0.523
Ta 0.500 0.500 0.341
As 0.500 0.500 0.704

The symmetry is No. 99. The energy of formation from the pure elements comes out at 0.02 eV per atom. The density of states at the Fermi level is 4.78 states/eV per cell. Its crystal system is tetragonal.

=====

Density (g/cm³)
3.65 5.51 4.98 5.03 3.37 5.46 3.79 4.36 4.29 5.41 3.69 3.47 3.02 5.25 3.74 4.80 3.62 4.43 4.96 9.54